(1)
VASP calculation (PBE-GGA) on a relaxed structure of Pm2Tm3Th2.

Cell: 3.437 8.568 8.941 Å, 118.59 101.08 90.00°
Element x y z (fractional)
Pm 0.563 0.909 0.126
Pm 0.437 0.091 0.874
Tm 0.000 0.500 0.000
Tm 0.216 0.801 0.431
Tm 0.784 0.199 0.569
Th 0.846 0.646 0.692
Th 0.154 0.354 0.308

Summary:
The density of states at the Fermi level comes out at 10.1 states/eV/cell. The calculation puts the total magnetic moment at 0.00 μB/f.u.

(2)
VASP calculation (PBE-GGA) on a relaxed structure of Pm2Tm3Th2.

Cell: 3.570 9.430 7.956 Å, 75.24 102.93 67.78°
Element x y z (fractional)
Pm 0.296 0.282 0.154
Pm 0.704 0.718 0.846
Tm 0.000 0.000 0.000
Tm 0.576 0.572 0.295
Tm 0.424 0.428 0.705
Th 0.149 0.139 0.578
Th 0.851 0.861 0.422

Summary:
The density of states at the Fermi level comes out at 9.9 states/eV/cell. The calculation puts the total magnetic moment at 0.00 μB/f.u.

Quick one: most stable of them? (2)

(1)
VASP calculation (PBE-GGA) on a relaxed structure of PmTm4Th.

Cell: 3.537 9.334 10.597 Å, 145.08 70.52 100.92°
Element x y z (fractional)
Pm 0.500 0.000 0.500
Tm 0.829 0.665 0.504
Tm 0.171 0.335 0.496
Tm 0.338 0.665 0.994
Tm 0.662 0.335 0.006
Th 0.000 0.000 0.000

Summary:
The density of states at the Fermi level comes out at 7.4 states/eV/cell. The calculation puts the total magnetic moment at 0.00 μB/f.u.

(2)
VASP calculation (PBE-GGA) on a relaxed structure of PmTm4Th.

Cell: 5.568 11.820 8.372 Å, 123.31 90.00 118.11°
Element x y z (fractional)
Pm 0.424 0.674 0.348
Pm 0.576 0.326 0.652
Tm 0.240 0.991 0.646
Tm 0.983 0.732 0.128
Tm 0.094 0.344 0.354
Tm 0.354 0.604 0.872
Tm 0.760 0.009 0.354
Tm 0.906 0.656 0.646
Tm 0.017 0.268 0.872
Tm 0.646 0.396 0.128
Th 0.694 0.944 0.888
Th 0.306 0.056 0.112

Summary:
The density of states at the Fermi level comes out at 17.9 states/eV/cell. The calculation puts the total magnetic moment at 0.00 μB/f.u.

Quick one: most stable of them? (1)

(1)
VASP calculation (PBE-GGA) on a relaxed structure of Pm5Tm4Th2.

Cell: 3.514 8.813 11.781 Å, 85.64 90.00 90.00°
Element x y z (fractional)
Pm 0.000 0.429 0.292
Pm 0.000 0.810 0.161
Pm 0.000 0.500 0.000
Pm 0.000 0.190 0.839
Pm 0.000 0.571 0.708
Tm 0.500 0.301 0.546
Tm 0.500 0.837 0.890
Tm 0.500 0.699 0.454
Tm 0.500 0.163 0.110
Th 0.000 0.961 0.634
Th 0.000 0.039 0.366

Summary:
The density of states at the Fermi level comes out at 19.7 states/eV/cell. The calculation puts the total magnetic moment at 0.00 μB/f.u.

(2)
VASP calculation (PBE-GGA) on a relaxed structure of Pm5Tm4Th2.

Cell: 3.427 9.260 13.273 Å, 110.42 97.42 90.00°
Element x y z (fractional)
Pm 0.843 0.163 0.686
Pm 0.843 0.523 0.686
Pm 0.157 0.477 0.314
Pm 0.157 0.837 0.314
Pm 0.500 0.000 0.000
Tm 0.000 0.318 0.000
Tm 0.760 0.760 0.521
Tm 0.000 0.682 0.000
Tm 0.240 0.240 0.479
Th 0.892 0.892 0.784
Th 0.108 0.108 0.216

Summary:
The density of states at the Fermi level comes out at 17.1 states/eV/cell. The calculation puts the total magnetic moment at 0.00 μB/f.u.

Quick one: most stable of them? (1)